Record 1
This record from Alexandria via LeMat-Bulk describes an optimized crystal structure of NaTaCl6. The functional is PBE.

Offset from the most stable computed form (kcal/mol of atoms): 0.43
DOS(E_F) (states/eV per cell): 0.0
Formation energy from raw total energies (meV/atom): -1455

The structure in CIF format:
```
data_NaTaCl6
_chemical_formula_sum 'Na3 Ta3 Cl18'
_cell_length_a 6.6742
_cell_length_b 6.6742
_cell_length_c 17.9538
_cell_angle_alpha 90.00
_cell_angle_beta 90.00
_cell_angle_gamma 120.00
_space_group_name_H-M_alt 'R -3'
_space_group_IT_number 148
_space_group_name_Hall '-R 3'
loop_
_atom_site_label
_atom_site_type_symbol
_atom_site_fract_x
_atom_site_fract_y
_atom_site_fract_z
Na1 Na 0.0000 0.0000 0.0000
Ta1 Ta 0.0000 0.0000 0.5000
Cl1 Cl 0.0050 0.7118 0.4240
```



Record 2
This record from Alexandria via LeMat-Bulk describes an optimized crystal structure of Pm2MgGePt6. The functional is PBE.

Formation enthalpy at 0 K (eV per formula unit): -7.5
DOS(E_F) (states/eV per cell): 13.8

The structure in CIF format:
```
data_Pm2MgGePt6
_chemical_formula_sum 'Pm6 Mg3 Ge3 Pt18'
_cell_length_a 5.6302
_cell_length_b 5.6302
_cell_length_c 23.5255
_cell_angle_alpha 90.00
_cell_angle_beta 90.00
_cell_angle_gamma 120.00
_space_group_name_H-M_alt 'R -3 m'
_space_group_IT_number 166
_space_group_name_Hall '-R 3 2"'
loop_
_atom_site_label
_atom_site_type_symbol
_atom_site_fract_x
_atom_site_fract_y
_atom_site_fract_z
Pm1 Pm 0.0000 0.0000 0.2062
Mg1 Mg 0.0000 0.0000 0.5000
Ge1 Ge 0.0000 0.0000 0.0000
Pt1 Pt 0.0050 0.5025 0.2534
```



Record 3
This record from Alexandria via LeMat-Bulk describes an optimized crystal structure of CaLa3. The functional is PBE.

Formation enthalpy at 0 K (eV per formula unit): 0.1
DOS(E_F) (states/eV per cell): 20.0

The structure in CIF format:
```
data_CaLa3
_chemical_formula_sum 'Ca3 La9'
_cell_length_a 3.7504
_cell_length_b 3.7504
_cell_length_c 37.5146
_cell_angle_alpha 90.00
_cell_angle_beta 90.00
_cell_angle_gamma 120.00
_space_group_name_H-M_alt 'R -3 m'
_space_group_IT_number 166
_space_group_name_Hall '-R 3 2"'
loop_
_atom_site_label
_atom_site_type_symbol
_atom_site_fract_x
_atom_site_fract_y
_atom_site_fract_z
Ca1 Ca 0.0000 0.0000 0.0000
La1 La 0.0000 0.0000 0.2463
La2 La 0.0000 0.0000 0.5000
```



Record 4
This record from Alexandria via LeMat-Bulk describes an optimized crystal structure of Pa3Ga4Os. The functional is PBE.

Formation enthalpy at 0 K (eV per formula unit): -0.7
DOS(E_F) (states/eV per cell): 21.3

The structure in CIF format:
```
data_Pa3Ga4Os
_chemical_formula_sum 'Pa6 Ga8 Os2'
_cell_length_a 4.4860
_cell_length_b 6.6115
_cell_length_c 12.1555
_cell_angle_alpha 90.00
_cell_angle_beta 90.00
_cell_angle_gamma 90.00
_space_group_name_H-M_alt 'I m m m'
_space_group_IT_number 71
_space_group_name_Hall '-I 2 2'
loop_
_atom_site_label
_atom_site_type_symbol
_atom_site_fract_x
_atom_site_fract_y
_atom_site_fract_z
Pa1 Pa 0.0000 0.0000 0.0000
Pa2 Pa 0.0000 0.5000 0.1526
Ga1 Ga 0.0000 0.3026 0.3680
Os1 Os 0.0000 0.0000 0.5000
```